Record 1
Tb2Ag2SeS3, optimized geometry, DFT PBE-GGA; total magnetic moment = 0.0 μB per formula unit; symmetry = No. 8; DFT total energy = -5.153 eV per atom; ρ = 6.41 g/cm³
1.0
4.7388 -4.6267 0.0000
4.7388 4.6267 0.0000
-0.0655 0.0000 4.1868
Tb Ag Se S
2 2 1 3
direct
0.0000 0.0000 0.0000
0.5147 0.5147 0.4428
0.0042 0.5058 0.2390
0.5058 0.0042 0.2390
0.3039 0.3039 0.9382
0.2065 0.8069 0.4908
0.7077 0.7077 0.9583
0.8069 0.2065 0.4908

Record 2
Tb2Ag2Se3S, optimized geometry, DFT PBE-GGA; total magnetic moment = 0.0 μB per formula unit; symmetry = No. 8; DFT total energy = -4.940 eV per atom; ρ = 6.83 g/cm³
1.0
4.7062 -4.8303 0.0000
4.7062 4.8303 0.0000
-0.0607 0.0000 4.2942
Tb Ag Se S
2 2 3 1
direct
0.0000 0.0000 0.0000
0.5158 0.5158 0.4240
0.0117 0.5123 0.2332
0.5123 0.0117 0.2332
0.2098 0.2098 0.4970
0.3073 0.7120 0.9335
0.7120 0.3073 0.9335
0.8092 0.8092 0.4799

Record 3
Ag2TeSeS2, optimized geometry, DFT PBE-GGA; excess energy over the best structure of this formula in the dataset = 0 meV/atom; symmetry = No. 9; DFT total energy = -3.463 eV per atom; ρ = 5.31 g/cm³
1.0
3.5386 -5.9118 0.0000
3.5386 5.9118 0.0000
-3.5244 0.0000 7.2731
Ag Te Se S
4 2 2 4
direct
0.0548 0.9452 0.5000
0.3017 0.7285 0.9808
0.7285 0.3017 0.4808
0.9452 0.0548 0.0000
0.4250 0.6411 0.4875
0.6411 0.4250 0.9875
0.1637 0.4107 0.6470
0.4107 0.1637 0.1470
0.0120 0.4629 0.1086
0.4629 0.0120 0.6086
0.7364 0.8064 0.1796
0.8064 0.7364 0.6796

Record 4
Ag2TeSeS2, optimized geometry, DFT PBE-GGA; excess energy over the best structure of this formula in the dataset = 15 meV/atom; symmetry = No. 9; DFT total energy = -3.448 eV per atom; ρ = 5.35 g/cm³
1.0
3.5083 -5.8919 0.0000
3.5083 5.8919 0.0000
-3.4915 0.0000 7.3043
Ag Te Se S
4 2 2 4
direct
0.0286 0.9714 0.5000
0.2267 0.6480 0.9554
0.6480 0.2267 0.4554
0.9714 0.0286 0.0000
0.3213 0.6183 0.4679
0.6183 0.3213 0.9679
0.5448 0.6022 0.8472
0.6022 0.5448 0.3472
0.2102 0.9676 0.8154
0.2318 0.8163 0.2778
0.8163 0.2318 0.7778
0.9676 0.2102 0.3154

Record 5
Ag2TeSe2S, optimized geometry, DFT PBE-GGA; excess energy over the best structure of this formula in the dataset = 0 meV/atom; symmetry = No. 9; DFT total energy = -3.365 eV per atom; ρ = 5.63 g/cm³
1.0
3.5816 -5.9784 0.0000
3.5816 5.9784 0.0000
-3.5541 0.0000 7.3446
Ag Te Se S
4 2 4 2
direct
0.0564 0.9436 0.5000
0.2905 0.7340 0.0395
0.7340 0.2905 0.5395
0.9436 0.0564 0.0000
0.3781 0.5949 0.5232
0.5949 0.3781 0.0232
0.1961 0.2870 0.8196
0.2870 0.1961 0.3196
0.6050 0.8543 0.3632
0.8543 0.6050 0.8632
0.0057 0.5476 0.4013
0.5476 0.0057 0.9013

Record 6
Ag2TeSe2S, optimized geometry, DFT PBE-GGA; excess energy over the best structure of this formula in the dataset = 10 meV/atom; symmetry = No. 9; DFT total energy = -3.355 eV per atom; ρ = 5.58 g/cm³
1.0
3.5893 -5.9965 0.0000
3.5893 5.9965 0.0000
-3.5594 0.0000 7.3673
Ag Te Se S
4 2 4 2
direct
0.0472 0.9528 0.5000
0.3090 0.7423 0.9761
0.7423 0.3090 0.4761
0.9528 0.0472 0.0000
0.4335 0.6387 0.4914
0.6387 0.4335 0.9914
0.0283 0.4707 0.1153
0.1696 0.4186 0.6492
0.4186 0.1696 0.1492
0.4707 0.0283 0.6153
0.7371 0.8130 0.1799
0.8130 0.7371 0.6799

Record 7
Tl2Ag2SeS3, optimized geometry, DFT PBE-GGA; symmetry = No. 5; DFT total energy = -3.442 eV per atom; ρ = 6.08 g/cm³
1.0
6.6988 -3.0129 0.0000
6.6988 3.0129 0.0000
-2.7010 0.0000 5.4101
Tl Ag Se S
2 2 1 3
direct
0.1259 0.1259 0.3804
0.8741 0.8741 0.6196
0.3522 0.3850 0.1295
0.6150 0.6478 0.8705
0.7303 0.2697 0.0000
0.2547 0.7453 0.5000
0.4968 0.0034 0.2461
0.9966 0.5032 0.7539

Record 8
TlAgWSeS2, optimized geometry, DFT PBE-GGA; total magnetic moment = 0.0 μB per formula unit; symmetry = No. 63; DFT total energy = -5.161 eV per atom; ρ = 7.62 g/cm³
1.0
1.6856 -8.3664 0.0000
1.6856 8.3664 0.0000
0.0000 0.0000 9.8722
Tl Ag W Se S
2 2 2 2 4
direct
0.1829 0.8171 0.7500
0.8171 0.1829 0.2500
0.1709 0.8291 0.2500
0.8291 0.1709 0.7500
0.5000 0.5000 0.0000
0.5000 0.5000 0.5000
0.4648 0.5352 0.2500
0.5352 0.4648 0.7500
0.1033 0.8967 0.0286
0.1033 0.8967 0.4714
0.8967 0.1033 0.5286
0.8967 0.1033 0.9714